Here is a relaxed YGa7Co5 crystal from the Alexandria database. Energies are from PBE-GGA.

Lattice parameters (Å, degrees): 6.514 6.514 6.514 133.92 98.01 99.61
Fractional positions:
1 Y 0.000 0.000 0.000
2 Ga 0.191 0.490 0.700
3 Ga 0.237 0.737 0.500
4 Ga 0.347 0.347 0.000
5 Ga 0.366 0.026 0.341
6 Ga 0.666 0.666 0.000
7 Ga 0.685 0.026 0.659
8 Ga 0.790 0.490 0.300
9 Co 0.011 0.516 0.018
10 Co 0.011 0.994 0.496
11 Co 0.498 0.516 0.504
12 Co 0.498 0.994 0.982
13 Co 0.773 0.273 0.500

Calculated values
E: -67.67 eV/cell
Symmetry: Imm2 (44)
M_tot: 0.39 μB/f.u.
Formation energy from the elements: -33.3 kJ/mol of atoms